1.
The following is a GGA-PBE calculation of Cs2Ag3F8 after structural relaxation, from Alexandria via LeMat-Bulk.

## Properties
Space-group type: P4/mmm, No. 123
Raw formation energy, meV/atom: -1678
ΔE to the lowest computed polymorph, eV per atom: 0.0000
Crystal system: tetragonal

Cell lengths 4.360, 4.360, 12.641 Å; angles 90.00, 90.00, 90.00 degrees
Atoms (fractional coordinates):
Cs (0.000, 0.000, 0.192)
Cs (0.000, 0.000, 0.808)
Ag (0.500, 0.500, 0.375)
Ag (0.500, 0.500, 0.000)
Ag (0.500, 0.500, 0.625)
F (0.500, 0.000, 0.367)
F (0.000, 0.500, 0.367)
F (0.000, 0.500, 0.000)
F (0.500, 0.500, 0.169)
F (0.500, 0.000, 0.633)
F (0.000, 0.500, 0.633)
F (0.500, 0.500, 0.831)
F (0.500, 0.000, 0.000)

***

2.
The following is a GGA-PBE calculation of SrSbAuI2 after structural relaxation, from Alexandria via LeMat-Bulk.

## Properties
Space-group type: P4/mmm, No. 123
Raw formation energy, meV/atom: 163
ΔE to the lowest computed polymorph, eV per atom: 0.4520
Crystal system: tetragonal

Cell lengths 6.206, 6.206, 6.845 Å; angles 90.00, 90.00, 90.00 degrees
Atoms (fractional coordinates):
I (0.000, 0.500, 0.000)
I (0.500, 0.000, 0.000)
Sb (0.000, 0.000, 0.500)
Au (0.500, 0.500, 0.500)
Sr (0.000, 0.000, 0.000)

***

3.
The following is a GGA-PBE calculation of Pm4HoEr4 after structural relaxation, from Alexandria via LeMat-Bulk.

## Properties
Formation enthalpy at 0 K, eV/atom: 0.022
Space-group type: I4/mmm, No. 139
ΔE to the lowest computed polymorph, eV per atom: 0.0000
Crystal system: tetragonal

Cell lengths 5.044, 7.993, 7.993 Å; angles 84.29, 71.61, 71.61 degrees
Atoms (fractional coordinates):
Pm (0.669, 0.331, 0.331)
Pm (0.331, 0.669, 0.669)
Pm (0.000, 0.669, 0.331)
Pm (0.000, 0.331, 0.669)
Ho (0.000, 0.000, 0.000)
Er (0.666, 0.668, 0.000)
Er (0.334, 0.332, 0.000)
Er (0.666, 0.000, 0.668)
Er (0.334, 0.000, 0.332)

***

4.
The following is a GGA-PBE calculation of TbSm6Ho2Er3 after structural relaxation, from Alexandria via LeMat-Bulk.

## Properties
Formation enthalpy at 0 K, eV/atom: 0.015
Space-group type: C2/m, No. 12
Crystal system: monoclinic

Cell lengths 6.199, 6.199, 11.775 Å; angles 95.01, 95.01, 119.98 degrees
Atoms (fractional coordinates):
Tb (0.000, 0.000, 0.000)
Sm (0.916, 0.583, 0.749)
Sm (0.750, 0.750, 0.251)
Sm (0.084, 0.417, 0.251)
Sm (0.583, 0.916, 0.749)
Sm (0.250, 0.250, 0.749)
Sm (0.417, 0.084, 0.251)
Ho (0.333, 0.667, 0.000)
Ho (0.667, 0.333, 0.000)
Er (0.167, 0.833, 0.500)
Er (0.833, 0.167, 0.500)
Er (0.500, 0.500, 0.500)